# CrRe2Te

A geometry-optimized CrRe2Te structure (PBEsol, Alexandria via LeMat-Bulk).

Calculated values
For the total moment, the calculation gives 0.000 μB/f.u. As for the uncorrected formation energy: 64 kJ per mole of atoms.

a = 3.075 Å, b = 4.409 Å, c = 4.489 Å
α = 90.00°, β = 90.00°, γ = 90.00°
Space group Pmmm (No. 47)
Unique sites:
Cr (0.000, 0.000, 0.000) x1
Re (0.000, 0.500, 0.500) x1
Re (0.500, 0.000, 0.500) x1
Te (0.500, 0.500, 0.000) x1

=====

# LaMg2W

A geometry-optimized LaMg2W structure (PBEsol, Alexandria via LeMat-Bulk).

Calculated values
The calculation puts the energy above the most stable polymorph in this dataset at 0.32 eV per formula unit. The value obtained for the formation energy is 2.74 eV/f.u. For the total moment, the calculation gives 0.871 μB/f.u.

a = 4.562 Å, b = 4.562 Å, c = 8.434 Å
α = 90.00°, β = 90.00°, γ = 90.00°
Space group I-4m2 (No. 119)
Unique sites:
La (0.000, 0.000, 0.000) x2
Mg (0.000, 0.000, 0.500) x2
Mg (0.000, 0.500, 0.250) x2
W (0.000, 0.500, 0.750) x2

=====

# Li2InPb

A geometry-optimized Li2InPb structure (PBEsol, Alexandria via LeMat-Bulk).

Calculated values
The calculation puts the energy above the most stable polymorph in this dataset at 0.00 eV per formula unit. The value obtained for the formation energy is -1.18 eV/f.u. For the total moment, the calculation gives 0.000 μB/f.u.

a = 4.852 Å, b = 4.852 Å, c = 6.834 Å
α = 90.00°, β = 90.00°, γ = 90.00°
Space group I4/mmm (No. 139)
Unique sites:
Li (0.000, 0.500, 0.250) x4
In (0.000, 0.000, 0.000) x2
Pb (0.000, 0.000, 0.500) x2

=====

# Rb2Te2P

A geometry-optimized Rb2Te2P structure (PBEsol, Alexandria via LeMat-Bulk).

Calculated values
For the total moment, the calculation gives 0.000 μB/f.u. As for the uncorrected formation energy: -24 kJ per mole of atoms.

a = 7.043 Å, b = 7.043 Å, c = 8.084 Å
α = 90.00°, β = 90.00°, γ = 90.00°
Space group I4/mmm (No. 139)
Unique sites:
Rb (0.000, 0.500, 0.250) x4
Te (0.000, 0.000, 0.183) x4
P (0.000, 0.000, 0.500) x2

=====

# CsTb2Cl7

A geometry-optimized CsTb2Cl7 structure (PBEsol, Alexandria via LeMat-Bulk).

Calculated values
For the total moment, the calculation gives 0.000 μB/f.u. As for the uncorrected formation energy: -221 kJ per mole of atoms.

a = 13.554 Å, b = 6.914 Å, c = 12.538 Å
α = 90.00°, β = 90.00°, γ = 90.00°
Space group Pnma (No. 62)
Unique sites:
Cs (0.038, 0.250, 0.202) x4
Tb (0.241, 0.250, 0.547) x4
Tb (0.247, 0.250, 0.852) x4
Cl (0.111, 0.750, 0.198) x4
Cl (0.127, 0.009, 0.432) x8
Cl (0.131, 0.009, 0.967) x8
Cl (0.180, 0.007, 0.701) x8

=====

# RbMn2ReOs

A geometry-optimized RbMn2ReOs structure (PBEsol, Alexandria via LeMat-Bulk).

Calculated values
The value obtained for the formation energy is 13.25 eV/f.u. For the total moment, the calculation gives 3.565 μB/f.u.

a = 4.688 Å, b = 4.688 Å, c = 5.261 Å
α = 90.00°, β = 90.00°, γ = 90.00°
Space group P4/mmm (No. 123)
Unique sites:
Rb (0.000, 0.000, 0.000) x1
Mn (0.000, 0.500, 0.500) x2
Re (0.500, 0.500, 0.000) x1
Os (0.000, 0.000, 0.500) x1